A | IrRu2Br: optimized geometry, PBE.

a b c (Å): 4.720 4.720 4.720
angles (deg): 129.28 129.28 74.56
Element x y z (fractional)
1 Br 0.500 0.500 0.000
2 Ru 0.000 0.000 0.000
3 Ru 0.250 0.750 0.500
4 Ir 0.750 0.250 0.500

B | IrRu2Br: optimized geometry, PBE.

a b c (Å): 2.847 4.662 4.662
angles (deg): 90.00 90.00 90.00
Element x y z (fractional)
1 Br 0.500 0.500 0.000
2 Ir 0.500 0.000 0.500
3 Ru 0.000 0.500 0.500
4 Ru 0.000 0.000 0.000

Need the numbers? Relative energies in meV per atom: A 131; B 0.

A | IrRu2Br: optimized geometry, PBE.

a b c (Å): 5.341 5.341 5.341
angles (deg): 148.89 127.94 61.89
Element x y z (fractional)
1 Ru 0.989 0.989 0.000
2 Ru 0.511 0.511 0.000
3 Ir 0.250 0.750 0.500
4 Br 0.750 0.250 0.500

B | IrRu2Br: optimized geometry, PBE.

a b c (Å): 4.453 4.453 4.453
angles (deg): 60.00 60.00 60.00
Element x y z (fractional)
1 Br 0.000 0.000 0.000
2 Ir 0.500 0.500 0.500
3 Ru 0.250 0.250 0.250
4 Ru 0.750 0.750 0.750

Need the numbers? Relative energies in meV per atom: A 0; B 17.

A | IrRu2Br: optimized geometry, PBE.

a b c (Å): 3.650 2.807 6.730
angles (deg): 89.99 90.00 90.00
Element x y z (fractional)
1 Ru 0.000 0.250 0.558
2 Ru 0.000 0.250 0.942
3 Ir 0.500 0.750 0.750
4 Br 0.500 0.250 0.250

B | IrRu2Br: optimized geometry, PBE.

a b c (Å): 8.752 8.752 8.752
angles (deg): 18.89 18.89 18.89
Element x y z (fractional)
1 Ir 0.750 0.750 0.750
2 Br 0.250 0.250 0.250
3 Ru 0.001 0.001 0.001
4 Ru 0.499 0.499 0.499

Need the numbers? Relative energies in meV per atom: A 0; B 73.

A | IrRu2Br: optimized geometry, PBE.

a b c (Å): 5.098 5.098 4.486
angles (deg): 86.48 86.48 32.65
Element x y z (fractional)
1 Ir 0.276 0.276 0.221
2 Ru 0.721 0.721 0.759
3 Ru 0.004 0.004 0.009
4 Br 0.499 0.499 0.511

B | IrRu2Br: optimized geometry, PBE.

a b c (Å): 4.607 4.607 4.607
angles (deg): 126.34 126.34 79.32
Element x y z (fractional)
1 Ir 0.750 0.250 0.500
2 Br 0.250 0.750 0.500
3 Ru 0.000 0.000 0.000
4 Ru 0.500 0.500 0.000

Need the numbers? Relative energies in meV per atom: A 0; B 219.

A | IrRuSeBr2: optimized geometry, PBE.

a b c (Å): 5.077 5.077 4.662
angles (deg): 90.00 90.00 90.00
Element x y z (fractional)
1 Ir 0.500 0.500 0.500
2 Ru 0.000 0.000 0.000
3 Se 0.000 0.000 0.500
4 Br 0.500 0.000 0.000
5 Br 0.000 0.500 0.000

B | IrRuSeBr2: optimized geometry, PBE.

a b c (Å): 5.254 5.254 4.682
angles (deg): 90.00 90.00 90.00
Element x y z (fractional)
1 Ir 0.000 0.000 0.000
2 Se 0.000 0.000 0.500
3 Ru 0.500 0.500 0.500
4 Br 0.500 0.000 0.000
5 Br 0.000 0.500 0.000

Need the numbers? Relative energies in meV per atom: A 154; B 0.

A | IrS2Br: optimized geometry, PBE.

a b c (Å): 3.671 3.671 7.813
angles (deg): 90.00 90.00 120.00
Element x y z (fractional)
1 Br 0.333 0.667 0.546
2 S 0.667 0.333 0.116
3 S 0.333 0.667 0.833
4 Ir 0.000 0.000 0.960

B | IrS2Br: optimized geometry, PBE.

a b c (Å): 3.787 3.787 4.903
angles (deg): 90.00 90.00 90.00
Element x y z (fractional)
1 S 0.000 0.000 0.000
2 S 0.500 0.500 0.500
3 Ir 0.500 0.500 0.000
4 Br 0.000 0.000 0.500

C | IrS2Br: optimized geometry, PBE.

a b c (Å): 3.519 8.049 8.052
angles (deg): 77.26 102.62 77.43
Element x y z (fractional)
1 S 0.087 0.549 0.240
2 S 0.603 0.760 0.482
3 S 0.885 0.344 0.632
4 S 0.872 0.195 0.457
5 Ir 0.226 0.567 0.536
6 Ir 0.644 0.378 0.183
7 Br 0.370 0.607 0.863
8 Br 0.199 0.177 0.093

D | IrS2Br: optimized geometry, PBE.

a b c (Å): 3.666 7.028 9.346
angles (deg): 123.27 78.44 92.96
Element x y z (fractional)
1 Br 0.045 0.266 0.104
2 Br 0.685 0.475 0.863
3 Ir 0.541 0.564 0.176
4 Ir 0.826 0.068 0.539
5 S 0.573 0.692 0.450
6 S 0.045 0.812 0.231
7 S 0.231 0.969 0.655
8 S 0.363 0.216 0.467

Need the numbers? Relative energies in meV per atom: A 0; B 942; C 19; D 70.